Density functional theory data (PBE) for an optimized crystal structure of YZn2Bi2.

Computed properties:
Energy relative to the lowest polymorph listed for this composition ... 16.6 kJ/mol of atoms
ΔE_f ... -0.02 eV per atom

Cell and atoms, written as POSCAR:
```
YZn2Bi2
1.0
-2.378 2.378 5.872
2.378 -2.378 5.872
2.378 2.378 -5.872
Y Zn Bi
1 2 2
direct
0.000 0.000 0.000
0.401 0.401 0.000
0.599 0.599 0.000
0.250 0.750 0.500
0.750 0.250 0.500
```

---

Density functional theory data (PBE) for an optimized crystal structure of NaGe2I.

Computed properties:
Energy relative to the lowest polymorph listed for this composition ... 20.9 kJ/mol of atoms
Raw formation energy ... 480 meV per atom

Cell and atoms, written as POSCAR:
```
NaGe2I
1.0
0.000 3.713 3.713
3.713 0.000 3.713
3.713 3.713 0.000
Na Ge I
1 2 1
direct
0.000 0.000 0.000
0.250 0.250 0.250
0.750 0.750 0.750
0.500 0.500 0.500
```

---

Density functional theory data (PBE) for an optimized crystal structure of SrAsW2.

Computed properties:
ΔE_f ... 0.97 eV per atom

Cell and atoms, written as POSCAR:
```
SrAsW2
1.0
3.990 0.000 0.000
0.000 3.990 0.000
0.000 0.000 5.087
Sr As W
1 1 2
direct
0.000 0.000 0.000
0.500 0.500 0.000
0.000 0.500 0.500
0.500 0.000 0.500
```

---

Number 1: E -3.3782 eV per atom. Number 2: E -2.5457 eV per atom. Number 3: E -7.0890 eV per atom.